First-principles (PBE) data for a relaxed ZrTl2As crystal, as listed in Alexandria via LeMat-Bulk.

Cell and atoms, written as POSCAR:
```
ZrTl2As
1.0
4.4375 0.0000 0.0000
0.0000 4.4375 0.0000
0.0000 0.0000 9.4105
Zr Tl As
2 4 2
Cartesian
0.0000 0.0000 0.0000
2.2188 2.2188 4.7053
0.0000 0.0000 4.7053
0.0000 2.2188 2.3526
2.2188 0.0000 7.0579
2.2188 2.2188 0.0000
0.0000 2.2188 7.0579
2.2188 0.0000 2.3526
```

Summary:
The value obtained for the formation energy is 0.010 eV per atom. The total DFT energy (no corrections) is -4.473 eV per atom. The calculation puts the spin magnetization at 0.00 Bohr magnetons per cell.


First-principles (PBE) data for a relaxed La3Th13 crystal, as listed in Alexandria via LeMat-Bulk.

Cell and atoms, written as POSCAR:
```
La3Th13
1.0
7.1599 0.0000 0.0000
0.0000 7.1470 0.0000
-0.0117 0.0000 10.2041
La Th
3 13
Cartesian
0.0000 0.0000 0.0000
5.3210 1.8087 7.5979
5.3210 5.3383 7.5979
-0.0043 3.5735 5.0310
-0.0008 0.0000 5.0351
0.0193 3.5735 0.0123
1.7728 1.7970 2.5425
1.7728 5.3500 2.5425
1.7830 1.8048 7.5951
1.7830 5.3422 7.5951
3.5109 0.0000 0.0122
3.5364 3.5735 0.0067
3.5327 3.5735 5.0232
3.5370 0.0000 5.0283
5.3349 1.7948 2.5344
5.3349 5.3522 2.5344
```

Summary:
The value obtained for the formation energy is 0.040 eV per atom. The total DFT energy (no corrections) is -6.913 eV per atom. The calculation puts the spin magnetization at 0.00 Bohr magnetons per cell.


First-principles (PBE) data for a relaxed DyEr3Mg crystal, as listed in Alexandria via LeMat-Bulk.

Cell and atoms, written as POSCAR:
```
DyEr3Mg
1.0
3.5476 0.0000 0.0000
0.0000 11.0183 0.0000
-1.6775 0.0000 8.1418
Dy Er Mg
2 6 2
Cartesian
-0.7681 2.7546 3.7586
2.6383 8.2638 4.3833
-0.7803 0.0705 6.5910
-0.7803 5.4387 6.5910
0.9148 2.7546 0.8074
0.9554 8.2638 7.3344
2.6505 5.5796 1.5508
2.6505 10.9479 1.5508
0.8680 8.2638 1.7530
1.0021 2.7546 6.3888
```

Summary:
The value obtained for the formation energy is 0.196 eV per atom. The total DFT energy (no corrections) is -3.781 eV per atom. The calculation puts the spin magnetization at 0.00 Bohr magnetons per cell.


First-principles (PBE) data for a relaxed Sm7Dy2Mg2 crystal, as listed in Alexandria via LeMat-Bulk.

Cell and atoms, written as POSCAR:
```
Sm7Dy2Mg2
1.0
5.9351 -5.5508 0.0000
5.9351 5.5508 0.0000
-2.1430 0.0000 5.3887
Sm Dy Mg
7 2 2
Cartesian
0.0000 0.0000 0.0000
1.9034 3.2460 4.3846
1.3203 0.0000 3.5770
7.8238 3.2460 1.0041
1.9034 -3.2460 4.3846
8.4069 0.0000 1.8116
7.8238 -3.2460 1.0041
4.8636 3.1013 2.6943
4.8636 -3.1013 2.6943
4.7488 0.0000 1.1801
4.9785 0.0000 4.2085
```

Summary:
The value obtained for the formation energy is 0.145 eV per atom. The total DFT energy (no corrections) is -3.985 eV per atom. The calculation puts the spin magnetization at 0.00 Bohr magnetons per cell.


First-principles (PBE) data for a relaxed AgSnOs2Se crystal, as listed in Alexandria via LeMat-Bulk.

Cell and atoms, written as POSCAR:
```
AgSnOs2Se
1.0
4.5491 0.0000 0.0000
0.0000 4.5491 0.0000
0.0000 0.0000 5.4444
Ag Sn Os Se
1 1 2 1
Cartesian
0.0000 0.0000 0.0000
2.2745 2.2745 0.0000
0.0000 2.2745 2.7222
2.2745 0.0000 2.7222
2.2745 2.2745 2.7222
```

Summary:
The calculation puts the formation energy from raw total energies at 1.51 eV/atom. The total DFT energy (no corrections) is -5.053 eV per atom. The calculation puts the spin magnetization at 0.00 Bohr magnetons per cell.


First-principles (PBE) data for a relaxed SnPd2Pb crystal, as listed in Alexandria via LeMat-Bulk.

Cell and atoms, written as POSCAR:
```
SnPd2Pb
1.0
6.8563 0.0000 0.0000
0.0000 6.8563 0.0000
0.0000 0.0000 6.8563
Sn Pd Pb
4 8 4
Cartesian
0.0000 0.0000 0.0000
0.0000 3.4282 3.4282
3.4282 0.0000 3.4282
3.4282 3.4282 0.0000
1.7141 1.7141 1.7141
1.7141 1.7141 5.1423
1.7141 5.1423 1.7141
1.7141 5.1423 5.1423
5.1423 1.7141 1.7141
5.1423 1.7141 5.1423
5.1423 5.1423 1.7141
5.1423 5.1423 5.1423
0.0000 0.0000 3.4282
0.0000 3.4282 0.0000
3.4282 0.0000 0.0000
3.4282 3.4282 3.4282
```

Summary:
The value obtained for the formation energy is -0.251 eV per atom. The total DFT energy (no corrections) is -4.776 eV per atom. The calculation puts the spin magnetization at 0.00 Bohr magnetons per cell.


First-principles (PBE) data for a relaxed CrGaIr crystal, as listed in Alexandria via LeMat-Bulk.

Cell and atoms, written as POSCAR:
```
CrGaIr
1.0
7.3424 0.0000 0.0000
0.0000 4.2394 0.0000
-0.0079 0.0000 5.3711
Cr Ga Ir
4 4 4
Cartesian
0.0000 0.0000 0.0000
1.2224 2.1197 4.4897
3.6712 2.1197 0.0000
4.8936 0.0000 4.4897
-0.0025 0.0000 2.7493
2.4452 0.0000 0.8560
3.6687 2.1197 2.7493
6.1165 2.1197 0.8560
1.2195 2.1197 1.7618
2.4458 0.0000 3.6112
4.8907 0.0000 1.7618
6.1170 2.1197 3.6112
```

Summary:
The value obtained for the formation energy is -0.230 eV per atom. The total DFT energy (no corrections) is -7.401 eV per atom. The calculation puts the spin magnetization at 0.59 Bohr magnetons per cell.


First-principles (PBE) data for a relaxed LiLa2PaO6 crystal, as listed in Alexandria via LeMat-Bulk.

Cell and atoms, written as POSCAR:
```
LiLa2PaO6
1.0
3.0167 1.7417 4.9873
-3.0167 1.7417 4.9873
0.0000 -3.4834 4.9873
Li La Pa O
1 2 1 6
Cartesian
0.0000 0.0000 0.0000
0.0000 0.0000 4.1506
0.0000 0.0000 11.6768
0.0000 0.0000 7.5136
-1.6628 0.1140 6.0906
-1.2244 -1.5213 8.4951
0.7326 -1.4970 6.0906
-0.7052 1.8210 8.4951
0.9301 1.3830 6.0906
1.9297 -0.2998 8.4951
```

Summary:
The calculation puts the formation energy from raw total energies at -3.24 eV/atom. The total DFT energy (no corrections) is -8.342 eV per atom. The calculation puts the spin magnetization at 0.00 Bohr magnetons per cell.


First-principles (PBE) data for a relaxed Ca3C crystal, as listed in Alexandria via LeMat-Bulk.

Cell and atoms, written as POSCAR:
```
Ca3C
1.0
5.1741 0.0000 0.0000
0.0000 12.6726 0.0000
0.0000 0.0000 3.8187
Ca C
6 2
Cartesian
0.0000 0.0000 0.0000
0.0000 4.6927 1.9093
0.0000 7.9799 1.9093
2.5870 1.6436 1.9093
2.5870 6.3363 0.0000
2.5870 11.0290 1.9093
0.0000 6.3363 0.0000
2.5870 0.0000 0.0000
```

Summary:
The value obtained for the formation energy is 0.247 eV per atom. The total DFT energy (no corrections) is -3.561 eV per atom. The calculation puts the spin magnetization at 0.00 Bohr magnetons per cell.


First-principles (PBE) data for a relaxed CoReTc2 crystal, as listed in Alexandria via LeMat-Bulk.

Cell and atoms, written as POSCAR:
```
CoReTc2
1.0
2.6959 0.0000 0.0000
0.0000 2.6959 0.0000
0.0000 0.0000 7.5365
Co Re Tc
1 1 2
Cartesian
0.0000 0.0000 0.0000
0.0000 0.0000 3.7682
1.3479 1.3479 1.7736
1.3479 1.3479 5.7628
```

Summary:
The value obtained for the formation energy is 0.095 eV per atom. The total DFT energy (no corrections) is -9.977 eV per atom. The calculation puts the spin magnetization at 0.00 Bohr magnetons per cell.


First-principles (PBE) data for a relaxed Er2Mg2Ni crystal, as listed in Alexandria via LeMat-Bulk.

Cell and atoms, written as POSCAR:
```
Er2Mg2Ni
1.0
3.3885 0.0000 0.0000
0.0000 3.3885 0.0000
0.0000 0.0000 19.9801
Er Mg Ni
4 4 2
Cartesian
0.0000 0.0000 1.5934
0.0000 0.0000 18.3866
1.6942 1.6942 8.3966
1.6942 1.6942 11.5835
0.0000 0.0000 5.9875
0.0000 0.0000 13.9925
1.6942 1.6942 4.0025
1.6942 1.6942 15.9776
0.0000 0.0000 9.9900
1.6942 1.6942 0.0000
```

Summary:
The value obtained for the formation energy is -0.230 eV per atom. The total DFT energy (no corrections) is -3.849 eV per atom. The calculation puts the spin magnetization at 0.00 Bohr magnetons per cell.


First-principles (PBE) data for a relaxed TaAl2CoRe crystal, as listed in Alexandria via LeMat-Bulk.

Cell and atoms, written as POSCAR:
```
TaAl2CoRe
1.0
4.6956 0.0000 0.0000
0.0000 4.6956 0.0000
0.0000 0.0000 4.8551
Ta Al Co Re
1 2 1 1
Cartesian
0.0000 0.0000 0.0000
0.0000 2.3478 2.4275
2.3478 0.0000 2.4275
2.3478 2.3478 0.0000
0.0000 0.0000 2.4275
```

Summary:
The value obtained for the formation energy is 1.117 eV per atom. The total DFT energy (no corrections) is -6.661 eV per atom. The calculation puts the spin magnetization at 1.77 Bohr magnetons per cell.


First-principles (PBE) data for a relaxed Te4WBr crystal, as listed in Alexandria via LeMat-Bulk.

Cell and atoms, written as POSCAR:
```
Te4WBr
1.0
0.0000 4.4225 4.4225
4.4225 0.0000 4.4225
4.4225 4.4225 0.0000
Te W Br
4 1 1
Cartesian
1.1025 1.1025 1.1025
3.3200 3.3200 1.1025
3.3200 1.1025 3.3200
1.1025 3.3200 3.3200
6.6337 6.6337 6.6337
4.4225 4.4225 4.4225
```

Summary:
The calculation puts the formation energy from raw total energies at 1.13 eV/atom. The total DFT energy (no corrections) is -3.401 eV per atom. The calculation puts the spin magnetization at 3.31 Bohr magnetons per cell.


First-principles (PBE) data for a relaxed RbBa2O2 crystal, as listed in Alexandria via LeMat-Bulk.

Cell and atoms, written as POSCAR:
```
RbBa2O2
1.0
4.8952 0.0000 0.0000
0.0000 4.8952 0.0000
0.0000 0.0000 15.6651
Rb Ba O
2 4 4
Cartesian
0.0000 0.0000 0.0000
2.4476 2.4476 7.8326
0.0000 0.0000 4.8161
0.0000 0.0000 10.8490
2.4476 2.4476 3.0164
2.4476 2.4476 12.6487
0.0000 2.4476 3.9163
0.0000 2.4476 11.7488
2.4476 0.0000 3.9163
2.4476 0.0000 11.7488
```

Summary:
The calculation puts the formation energy from raw total energies at -1.79 eV/atom. The total DFT energy (no corrections) is -4.737 eV per atom. The calculation puts the spin magnetization at 0.00 Bohr magnetons per cell.


First-principles (PBE) data for a relaxed VN crystal, as listed in Alexandria via LeMat-Bulk.

Cell and atoms, written as POSCAR:
```
VN
1.0
2.7758 0.0000 0.0000
-1.3879 2.4039 0.0000
0.0000 0.0000 5.1701
V N
2 2
Cartesian
0.0000 1.6026 1.2925
1.3879 0.8013 3.8776
0.0000 0.0000 0.0000
0.0000 0.0000 2.5851
```

Summary:
The calculation puts the formation energy from raw total energies at -1.06 eV/atom. The total DFT energy (no corrections) is -9.784 eV per atom. The calculation puts the spin magnetization at 0.00 Bohr magnetons per cell.


First-principles (PBE) data for a relaxed Li2MgRu crystal, as listed in Alexandria via LeMat-Bulk.

Cell and atoms, written as POSCAR:
```
Li2MgRu
1.0
3.0079 0.0000 0.0000
0.0000 4.6246 0.0000
0.0000 0.0000 9.4668
Li Mg Ru
4 2 2
Cartesian
0.0000 0.0000 0.0000
0.0000 2.3123 2.6017
1.5040 0.0000 2.6017
1.5040 2.3123 0.0000
0.0000 0.0000 5.1375
1.5040 2.3123 5.1375
0.0000 2.3123 7.3425
1.5040 0.0000 7.3425
```

Summary:
The value obtained for the formation energy is 0.145 eV per atom. The total DFT energy (no corrections) is -3.529 eV per atom. The calculation puts the spin magnetization at 0.38 Bohr magnetons per cell.


First-principles (PBE) data for a relaxed Y2ScAl2 crystal, as listed in Alexandria via LeMat-Bulk.

Cell and atoms, written as POSCAR:
```
Y2ScAl2
1.0
4.5136 0.0000 0.0000
0.0000 6.2954 0.0000
0.0000 0.0000 8.8553
Y Sc Al
4 2 4
Cartesian
0.0000 0.0000 1.7798
0.0000 0.0000 7.0756
2.2568 3.1477 2.6479
2.2568 3.1477 6.2074
0.0000 3.1477 0.0000
2.2568 0.0000 4.4277
0.0000 1.8210 4.4277
0.0000 4.4744 4.4277
2.2568 1.3267 0.0000
2.2568 4.9687 0.0000
```

Summary:
The value obtained for the formation energy is -0.343 eV per atom. The total DFT energy (no corrections) is -5.692 eV per atom. The calculation puts the spin magnetization at 0.00 Bohr magnetons per cell.


First-principles (PBE) data for a relaxed CaTl2Se crystal, as listed in Alexandria via LeMat-Bulk.

Cell and atoms, written as POSCAR:
```
CaTl2Se
1.0
4.0356 0.0000 0.0000
0.0000 4.1352 0.0000
0.0000 0.0000 14.9175
Ca Tl Se
2 4 2
Cartesian
0.0000 0.0000 0.0000
2.0178 2.0676 7.4588
0.0000 2.0676 2.9261
0.0000 2.0676 11.9914
2.0178 0.0000 4.5326
2.0178 0.0000 10.3849
0.0000 0.0000 7.4588
2.0178 2.0676 0.0000
```

Summary:
The calculation puts the formation energy from raw total energies at -0.71 eV/atom. The total DFT energy (no corrections) is -3.267 eV per atom. The calculation puts the spin magnetization at 0.00 Bohr magnetons per cell.


First-principles (PBE) data for a relaxed AlTcHRh2 crystal, as listed in Alexandria via LeMat-Bulk.

Cell and atoms, written as POSCAR:
```
AlTcHRh2
1.0
4.6415 0.0000 0.0000
0.0000 4.6415 0.0000
0.0000 0.0000 4.8857
Al Tc H Rh
1 1 1 2
Cartesian
0.0000 0.0000 0.0000
0.0000 0.0000 2.4428
2.3208 2.3208 0.0000
0.0000 2.3208 2.4428
2.3208 0.0000 2.4428
```

Summary:
The total DFT energy (no corrections) is -4.975 eV per atom. The calculation puts the spin magnetization at 0.72 Bohr magnetons per cell.


First-principles (PBE) data for a relaxed Rb2InAu crystal, as listed in Alexandria via LeMat-Bulk.

Cell and atoms, written as POSCAR:
```
Rb2InAu
1.0
4.1938 0.0000 0.0000
-2.0969 3.6319 0.0000
0.0000 0.0000 36.4848
Rb In Au
6 3 3
Cartesian
0.0000 0.0000 3.7216
0.0000 0.0000 32.7633
0.0000 2.4213 20.6016
0.0000 2.4213 28.0448
2.0969 1.2106 8.4400
2.0969 1.2106 15.8832
0.0000 0.0000 0.0000
0.0000 2.4213 24.3232
2.0969 1.2106 12.1616
0.0000 0.0000 18.2424
0.0000 2.4213 6.0808
2.0969 1.2106 30.4040
```

Summary:
The value obtained for the formation energy is 0.105 eV per atom. The total DFT energy (no corrections) is -1.882 eV per atom. The calculation puts the spin magnetization at 0.00 Bohr magnetons per cell.